5
Lattice="-4.801 0.273 1.282 -0.893 -2.505 -2.811 0.632 -3.784 3.171" Properties=species:S:1:pos:R:3 comment="RbMoC2O (GGA+U, relaxed)" spacegroup="No. 123" energy_ev_per_cell=-21.01 dos_at_fermi_per_ev_cell=1.4 pbc="T T T"
C 0.316 -1.892 1.585
C -2.401 0.136 0.641
Mo -0.446 -1.252 -1.406
O 0.000 0.000 0.000
Rb -2.531 -3.008 0.821